Material: DyGeN
Method: DFT, PBE-GGA
State: relaxed

Cell lengths 3.445, 3.445, 9.751 Å; angles 100.17, 100.17, 90.00 degrees
Sites, in units of the cell vectors:
Ge: 0.918 0.918 0.836
N: 0.808 0.808 0.617
N: 0.192 0.192 0.383
Ge: 0.082 0.082 0.164
Dy: 0.685 0.685 0.370
Dy: 0.315 0.315 0.630

Properties
total magnetic moment: 0.00 μB/atom
uncorrected formation energy: -0.89 eV per atom
electronic total energy: -6.74 eV/atom
symmetry: I4/mmm, No. 139